VASP calculation (PBE) on FeCoOs after structural relaxation.

Results
**Excess energy over the best structure of this formula in the dataset**: 0.455 eV per atom
**E**: -100.40 eV per cell
**ΔH_f (0 K)**: 0.5659 eV per atom

Cell lengths 5.486, 5.486, 5.486 Å; angles 90.00, 90.00, 90.00 degrees
Space group F-43m (No. 216)
Unique sites:
Fe: 0.000 0.000 0.000 x4
Co: 0.250 0.250 0.750 x4
Os: 0.250 0.250 0.250 x4



VASP calculation (PBE) on Ta4Cu2O11 after structural relaxation.

Results
**Energy relative to the elements, uncorrected**: -2.372 eV per atom
**E**: -601.86 eV per cell

Cell lengths 10.686, 6.417, 13.067 Å; angles 90.00, 105.62, 90.00 degrees
Space group C2/c (No. 15)
Unique sites:
Ta: 0.000 0.083 0.250 x4
Ta: 0.184 0.446 0.752 x8
Ta: 0.250 0.250 0.500 x4
Cu: 0.000 0.000 0.000 x4
Cu: 0.000 0.500 0.000 x4
O: 0.000 0.481 0.750 x4
O: 0.081 0.132 0.407 x8
O: 0.130 0.136 0.753 x8
O: 0.154 0.238 0.224 x8
O: 0.157 0.412 0.591 x8
O: 0.236 0.487 0.402 x8



VASP calculation (PBE) on Y2AlCrPb after structural relaxation.

Results
**E**: -28.75 eV per cell
**ΔH_f (0 K)**: 0.2512 eV per atom

Cell lengths 5.072, 5.072, 4.796 Å; angles 90.00, 90.00, 90.00 degrees
Space group P4/mmm (No. 123)
Unique sites:
Y: 0.000 0.500 0.000 x2
Al: 0.000 0.000 0.500 x1
Cr: 0.000 0.000 0.000 x1
Pb: 0.500 0.500 0.500 x1



VASP calculation (PBE) on BeInPd2 after structural relaxation.

Results
**Excess energy over the best structure of this formula in the dataset**: 0.000 eV per atom
**E**: -18.74 eV per cell
**ΔH_f (0 K)**: -0.4716 eV per atom

Cell lengths 2.913, 2.913, 6.915 Å; angles 90.00, 90.00, 90.00 degrees
Space group P4/mmm (No. 123)
Unique sites:
Be: 0.000 0.000 0.000 x1
In: 0.000 0.000 0.500 x1
Pd: 0.500 0.500 0.202 x2



VASP calculation (PBE) on LaZnRu2 after structural relaxation.

Results
**E**: -48.12 eV per cell
**ΔH_f (0 K)**: 0.1731 eV per atom

Cell lengths 3.274, 5.236, 8.372 Å; angles 90.00, 90.00, 90.00 degrees
Space group Immm (No. 71)
Unique sites:
La: 0.000 0.000 0.000 x2
Zn: 0.000 0.000 0.500 x2
Ru: 0.000 0.500 0.242 x4



VASP calculation (PBE) on Ca2CeDyS4 after structural relaxation.

Results
**Energy relative to the elements, uncorrected**: -2.032 eV per atom
**E**: -47.30 eV per cell

Cell lengths 6.895, 3.977, 7.006 Å; angles 90.00, 109.09, 90.00 degrees
Space group P2/m (No. 10)
Unique sites:
Ca: 0.000 0.000 0.000 x1
Ca: 0.500 0.500 0.000 x1
Ce: 0.000 0.500 0.500 x1
Dy: 0.500 0.000 0.500 x1
S: 0.257 0.000 0.753 x2
S: 0.257 0.500 0.253 x2



VASP calculation (PBE) on CaReNi2 after structural relaxation.

Results
**Excess energy over the best structure of this formula in the dataset**: 0.549 eV per atom
**E**: -92.48 eV per cell
**ΔH_f (0 K)**: 0.7233 eV per atom

Cell lengths 4.693, 4.693, 15.667 Å; angles 90.00, 90.00, 90.00 degrees
Space group I-42d (No. 122)
Unique sites:
Ca: 0.000 0.000 0.000 x4
Re: 0.000 0.000 0.500 x4
Ni: 0.044 0.250 0.625 x8



VASP calculation (PBE) on ZrReAg2 after structural relaxation.

Results
**Excess energy over the best structure of this formula in the dataset**: 0.261 eV per atom
**E**: -99.27 eV per cell
**ΔH_f (0 K)**: 0.4701 eV per atom

Cell lengths 6.634, 6.634, 6.634 Å; angles 90.00, 90.00, 90.00 degrees
Space group F-43m (No. 216)
Unique sites:
Zr: 0.000 0.000 0.000 x4
Re: 0.250 0.250 0.750 x4
Ag: 0.000 0.000 0.500 x4
Ag: 0.250 0.250 0.250 x4



VASP calculation (PBE) on MnNbSiPt after structural relaxation.

Results
**Energy relative to the elements, uncorrected**: -0.380 eV per atom
**E**: -128.88 eV per cell

Cell lengths 6.158, 6.158, 6.158 Å; angles 90.00, 90.00, 90.00 degrees
Space group F-43m (No. 216)
Unique sites:
Mn: 0.000 0.000 0.000 x4
Nb: 0.250 0.250 0.250 x4
Si: 0.000 0.000 0.500 x4
Pt: 0.250 0.250 0.750 x4



VASP calculation (PBE) on Ce2ZnB2Ru5 after structural relaxation.

Results
**E**: -154.41 eV per cell
**ΔH_f (0 K)**: -0.4327 eV per atom

Cell lengths 9.612, 9.612, 3.148 Å; angles 90.00, 90.00, 90.00 degrees
Space group P4/mbm (No. 127)
Unique sites:
Ce: 0.177 0.323 0.000 x4
Zn: 0.000 0.000 0.000 x2
B: 0.123 0.623 0.000 x4
Ru: 0.000 0.500 0.500 x2
Ru: 0.072 0.780 0.500 x8



VASP calculation (PBE) on CrNi after structural relaxation.

Results
**E**: -50.43 eV per cell
**ΔH_f (0 K)**: 1.3992 eV per atom

Cell lengths 5.143, 5.143, 5.143 Å; angles 90.00, 90.00, 90.00 degrees
Space group F-43m (No. 216)
Unique sites:
Cr: 0.000 0.000 0.000 x4
Ni: 0.250 0.250 0.250 x4



VASP calculation (PBE) on TaP2O8 after structural relaxation.

Results
**Energy relative to the elements, uncorrected**: -2.187 eV per atom
**Excess energy over the best structure of this formula in the dataset**: 0.000 eV per atom
**E**: -345.59 eV per cell

Cell lengths 15.591, 5.297, 7.831 Å; angles 90.00, 90.00, 90.00 degrees
Space group Pnma (No. 62)
Unique sites:
Ta: 0.124 0.250 0.135 x4
P: 0.002 0.250 0.764 x4
P: 0.193 0.750 0.884 x4
O: 0.038 0.250 0.949 x4
O: 0.059 0.517 0.250 x8
O: 0.072 0.250 0.632 x4
O: 0.122 0.750 0.751 x4
O: 0.188 0.513 0.000 x8
O: 0.216 0.250 0.304 x4



VASP calculation (PBE) on GdZrBe2 after structural relaxation.

Results
**Excess energy over the best structure of this formula in the dataset**: 0.000 eV per atom
**E**: -30.00 eV per cell
**ΔH_f (0 K)**: 0.0197 eV per atom

Cell lengths 3.300, 3.300, 6.560 Å; angles 90.00, 90.00, 90.00 degrees
Space group P4/mmm (No. 123)
Unique sites:
Gd: 0.000 0.000 0.000 x1
Zr: 0.000 0.000 0.500 x1
Be: 0.500 0.500 0.290 x2



VASP calculation (PBE) on NdZrCuRu after structural relaxation.

Results
**E**: -109.06 eV per cell
**ΔH_f (0 K)**: -0.1444 eV per atom

Cell lengths 6.834, 6.834, 6.834 Å; angles 90.00, 90.00, 90.00 degrees
Space group F-43m (No. 216)
Unique sites:
Nd: 0.000 0.000 0.000 x4
Zr: 0.000 0.000 0.500 x4
Cu: 0.250 0.250 0.250 x4
Ru: 0.250 0.250 0.750 x4



VASP calculation (PBE) on ReB3Ir after structural relaxation.

Results
**Excess energy over the best structure of this formula in the dataset**: 0.000 eV per atom
**E**: -33.46 eV per cell
**ΔH_f (0 K)**: 1.5767 eV per atom

Cell lengths 4.039, 4.039, 4.039 Å; angles 90.00, 90.00, 90.00 degrees
Space group Pm-3m (No. 221)
Unique sites:
Re: 0.000 0.000 0.000 x1
B: 0.000 0.000 0.500 x3
Ir: 0.500 0.500 0.500 x1



VASP calculation (PBE) on RbCaZr2 after structural relaxation.

Results
**Excess energy over the best structure of this formula in the dataset**: 0.035 eV per atom
**E**: -59.43 eV per cell
**ΔH_f (0 K)**: 1.3019 eV per atom

Cell lengths 9.214, 9.214, 6.035 Å; angles 90.00, 90.00, 90.00 degrees
Space group I-42d (No. 122)
Unique sites:
Rb: 0.000 0.000 0.000 x4
Ca: 0.000 0.000 0.500 x4
Zr: 0.245 0.250 0.125 x8



VASP calculation (PBE) on BaMgCl2 after structural relaxation.

Results
**Energy relative to the elements, uncorrected**: -1.504 eV per atom
**Excess energy over the best structure of this formula in the dataset**: 0.000 eV per atom
**E**: -26.46 eV per cell

Cell lengths 8.253, 4.760, 10.008 Å; angles 90.00, 103.61, 90.00 degrees
Space group C2/m (No. 12)
Unique sites:
Ba: 0.000 0.000 0.000 x2
Mg: 0.000 0.500 0.500 x2
Cl: 0.208 0.500 0.146 x4



VASP calculation (PBE) on DyY2Ag2 after structural relaxation.

Results
**Excess energy over the best structure of this formula in the dataset**: 0.132 eV per atom
**E**: -47.55 eV per cell
**ΔH_f (0 K)**: -0.1088 eV per atom

Cell lengths 5.641, 4.892, 10.295 Å; angles 90.00, 99.73, 90.00 degrees
Space group P2_1/m (No. 11)
Unique sites:
Dy: 0.111 0.250 0.279 x2
Y: 0.285 0.750 0.033 x2
Y: 0.391 0.250 0.624 x2
Ag: 0.139 0.750 0.475 x2
Ag: 0.169 0.250 0.862 x2



VASP calculation (PBE) on ErTmOs2 after structural relaxation.

Results
**Excess energy over the best structure of this formula in the dataset**: 0.003 eV per atom
**E**: -127.76 eV per cell
**ΔH_f (0 K)**: -0.1117 eV per atom

Cell lengths 6.745, 6.745, 6.745 Å; angles 90.00, 90.00, 90.00 degrees
Space group Fm-3m (No. 225)
Unique sites:
Er: 0.000 0.000 0.000 x4
Tm: 0.000 0.000 0.500 x4
Os: 0.250 0.250 0.250 x8



VASP calculation (PBE) on B2MoP2 after structural relaxation.

Results
**Excess energy over the best structure of this formula in the dataset**: 0.574 eV per atom
**E**: -62.50 eV per cell
**ΔH_f (0 K)**: 0.7509 eV per atom

Cell lengths 3.194, 3.194, 10.744 Å; angles 90.00, 90.00, 90.00 degrees
Space group I4/mmm (No. 139)
Unique sites:
B: 0.000 0.000 0.079 x4
Mo: 0.000 0.000 0.500 x2
P: 0.000 0.500 0.250 x4